Entry from Alexandria: a relaxed structure of CaPr2Mg3 (PBE).

The structure in POSCAR format:
```
CaPr2Mg3
1.0
3.943 0.000 0.000
0.000 3.943 0.000
0.000 0.000 11.742
Ca Pr Mg
1 2 3
direct
0.500 0.500 0.500 Ca
0.500 0.500 0.837 Pr
0.500 0.500 0.163 Pr
0.000 0.000 0.000 Mg
0.000 0.000 0.671 Mg
0.000 0.000 0.329 Mg
```

Calculated values
size of the total moment	0.00	μB per atom
DOS at the Fermi energy	5.13	states/eV per cell
volume	183	Å³/f.u.
E_tot	-16.959	eV per formula unit
calculated formation energy	-0.10	eV/atom
SG	P4/mmm (123)